No. 1
Material: TaAlIn2Te
Method: DFT, GGA-PBE
State: relaxed

The structure in extended XYZ format:
```
5
Lattice="5.563 0.000 0.000 0.000 5.563 0.000 0.000 0.000 5.395" Properties=species:S:1:pos:R:3 pbc="T T T"
Ta 0.000 0.000 0.000
Al 2.781 2.781 2.698
In 0.000 2.781 0.000
In 2.781 0.000 0.000
Te 0.000 0.000 2.698
```

## Properties
Electronic total energy (eV/atom): -4.26

=====

No. 2
Material: TaTi2AlIn
Method: DFT, GGA-PBE
State: relaxed

The structure in extended XYZ format:
```
5
Lattice="4.676 0.000 0.000 0.000 4.676 0.000 0.000 0.000 4.793" Properties=species:S:1:pos:R:3 pbc="T T T"
Ta 0.000 0.000 0.000
Ti 0.000 2.338 2.396
Ti 2.338 0.000 2.396
Al 0.000 0.000 2.396
In 2.338 2.338 0.000
```

## Properties
ΔH_f (0 K) (meV/atom): 692
Electronic total energy (eV/atom): -6.13

=====

No. 3
Material: Tb3AlIn
Method: DFT, GGA-PBE
State: relaxed

The structure in extended XYZ format:
```
10
Lattice="8.054 0.000 0.000 -4.027 6.975 0.000 0.000 0.000 5.203" Properties=species:S:1:pos:R:3 pbc="T T T"
Tb 0.000 2.670 1.301
Tb -1.714 5.640 1.301
Tb 2.313 1.335 3.902
Tb 1.714 5.640 1.301
Tb 5.741 1.335 3.902
Tb 4.027 4.305 3.902
Al 0.000 0.000 0.000
Al 0.000 0.000 2.602
In 0.000 4.650 3.902
In 4.027 2.325 1.301
```

## Properties
ΔH_f (0 K) (meV/atom): -151
Distance to the lowest polymorph of the same formula (kJ/mol of atoms): 17.20
Electronic total energy (eV/atom): -4.23

=====

Please write out number 2 again, unchanged.
Material: TaTi2AlIn
Method: DFT, GGA-PBE
State: relaxed

The structure in extended XYZ format:
```
5
Lattice="4.676 0.000 0.000 0.000 4.676 0.000 0.000 0.000 4.793" Properties=species:S:1:pos:R:3 pbc="T T T"
Ta 0.000 0.000 0.000
Ti 0.000 2.338 2.396
Ti 2.338 0.000 2.396
Al 0.000 0.000 2.396
In 2.338 2.338 0.000
```

## Properties
ΔH_f (0 K) (meV/atom): 692
Electronic total energy (eV/atom): -6.13